# 1
Rb2ZnCu2Br6: relaxed, GGA-PBE.

POSCAR file:
```
Rb2ZnCu2Br6
1.0
-0.358 -1.607 7.356
0.740 -5.803 -5.094
6.238 4.302 1.243
Rb Br Zn Cu
2 6 1 2
direct
0.266 0.531 0.785
0.734 0.469 0.215
0.226 0.928 0.223
0.260 0.519 0.323
0.740 0.481 0.677
0.297 0.072 0.777
0.703 0.928 0.223
0.774 0.072 0.777
0.500 0.000 0.500
0.060 0.121 0.212
0.940 0.879 0.788
```

Crystal system ... monoclinic
Uncorrected formation energy ... -919 meV/atom

***

# 2
AlAgRu: relaxed, GGA-PBE.

POSCAR file:
```
AlAgRu
1.0
-3.122 3.123 -3.197
-5.369 0.895 -0.301
4.437 -0.390 3.144
Ru Ag Al
1 1 1
direct
0.687 0.687 0.000
0.995 0.995 0.000
0.317 0.317 0.000
```

Crystal system ... tetragonal
Density of states at the Fermi level ... 3.0 states/eV/f.u.
Energy relative to the elements ... -55.7 meV per atom
Distance to the lowest polymorph of the same formula ... 0.0 meV/atom

***

# 3
Pm4Pr5In: relaxed, GGA-PBE.

POSCAR file:
```
Pm4Pr5In
1.0
4.293 0.000 0.000
0.000 4.293 0.000
0.000 0.000 18.434
In Pr Pm
1 5 4
direct
0.000 0.000 0.000
0.500 0.500 0.500
0.500 0.500 0.089
0.500 0.500 0.705
0.500 0.500 0.295
0.500 0.500 0.911
0.000 0.000 0.602
0.000 0.000 0.195
0.000 0.000 0.805
0.000 0.000 0.398
```

Crystal system ... tetragonal
Density of states at the Fermi level ... 18.0 states/eV/f.u.
Energy relative to the elements ... -7.3 meV per atom
Distance to the lowest polymorph of the same formula ... 0.0 meV/atom

***

# 4
BaTlSnAs2: relaxed, GGA-PBE.

POSCAR file:
```
BaTlSnAs2
1.0
-0.912 4.794 0.118
-7.583 1.159 -4.703
-7.198 0.999 4.753
As Sn Tl Ba
4 2 2 2
direct
0.880 0.251 0.989
0.379 0.831 0.412
0.120 0.749 0.011
0.621 0.169 0.588
0.073 0.085 0.769
0.927 0.915 0.231
0.582 0.585 0.252
0.418 0.415 0.748
0.243 0.249 0.265
0.757 0.751 0.735
```

Crystal system ... monoclinic
Density of states at the Fermi level ... 1.4 states/eV/f.u.
Energy relative to the elements ... -458.0 meV per atom

***

# 5
MnSiB: relaxed, GGA-PBE.

POSCAR file:
```
MnSiB
1.0
7.540 0.000 0.000
0.000 4.104 0.000
0.000 0.000 7.194
Si Mn B
8 8 8
direct
0.250 0.750 0.393
0.750 0.750 0.893
0.000 0.500 0.143
0.000 0.000 0.643
0.500 0.000 0.143
0.500 0.500 0.643
0.250 0.250 0.893
0.750 0.250 0.393
0.750 0.250 0.047
0.750 0.750 0.547
0.000 0.500 0.797
0.250 0.750 0.047
0.500 0.000 0.797
0.250 0.250 0.547
0.500 0.500 0.297
0.000 0.000 0.297
0.500 0.500 0.972
0.500 0.000 0.472
0.000 0.500 0.472
0.250 0.750 0.722
0.250 0.250 0.222
0.750 0.750 0.222
0.000 0.000 0.972
0.750 0.250 0.722
```

Crystal system ... orthorhombic
Uncorrected formation energy ... -223 meV/atom
Distance to the lowest polymorph of the same formula ... 129.0 meV/atom

***

# 6
AlCrCu: relaxed, GGA-PBE.

POSCAR file:
```
AlCrCu
1.0
4.163 0.000 0.000
-2.081 3.605 0.000
0.000 0.000 2.775
Cu Al Cr
1 1 1
direct
0.333 0.667 0.833
0.000 0.000 0.834
0.667 0.333 0.333
```

Crystal system ... hexagonal
Density of states at the Fermi level ... 2.2 states/eV/f.u.
Energy relative to the elements ... 49.3 meV per atom

***

# 7
SnC2I2: relaxed, GGA-PBE.

POSCAR file:
```
SnC2I2
1.0
-0.308 2.993 -3.694
-3.720 2.153 2.055
1.030 5.676 1.441
I Sn C
2 1 2
direct
0.682 0.682 0.636
0.318 0.318 0.364
0.000 0.000 0.000
0.750 0.250 0.500
0.250 0.750 0.500
```

Crystal system ... tetragonal
Uncorrected formation energy ... 2165 meV/atom
Density of states at the Fermi level ... 1.1 states/eV/f.u.
Distance to the lowest polymorph of the same formula ... 72.1 meV/atom

***

# 8
Ho2Tm5Th: relaxed, GGA-PBE.

POSCAR file:
```
Ho2Tm5Th
1.0
-2.705 -0.764 4.096
1.702 -6.806 -0.146
11.295 2.653 7.954
Th Ho Tm
2 4 10
direct
0.000 0.000 0.500
0.000 0.500 0.000
0.500 0.747 0.876
0.500 0.253 0.124
0.500 0.753 0.376
0.500 0.247 0.624
0.500 0.245 0.376
0.000 0.501 0.751
0.500 0.755 0.624
0.000 0.999 0.251
0.000 0.500 0.500
0.500 0.255 0.876
0.500 0.745 0.124
0.000 0.000 0.000
0.000 0.001 0.749
0.000 0.499 0.249
```

Crystal system ... orthorhombic
Density of states at the Fermi level ... 11.6 states/eV/f.u.
Energy relative to the elements ... 27.2 meV per atom
Distance to the lowest polymorph of the same formula ... 17.2 meV/atom